Crystalline Tb2ErPd at its relaxed geometry, computed with PBE.

a b c (Å): 3.5903 3.5903 8.3494
angles (deg): 90.00 90.00 90.00
Last column: nearest neighbours and their distance in Å.
Fractional coordinates of all 4 atoms:
Tb: 0.0000 0.0000 0.2015  4 Pd 3.05, 1 Tb 3.36
Tb: 0.0000 0.0000 0.7985  4 Pd 3.05, 1 Tb 3.36
Er: 0.5000 0.5000 0.5000  8 Tb 3.56, 4 Er 3.59
Pd: 0.5000 0.5000 0.0000  8 Tb 3.05

Summary:
**ΔE_f**: -0.3912 eV per atom
**Total magnetization**: 0.0 Bohr magnetons per cell
**Density of states at the Fermi level**: 4.8 states/eV per cell
**Space group**: P4/mmm (123)